A relaxed structure of CaEuCuAu, computed with PBE.

Results
mass density = 7.7 Mg/m³

Cell lengths 5.1722, 5.1722, 5.1722 Å; angles 60.00, 60.00, 60.00 degrees
With the nearest neighbours (Å) after each atom.
Fractional positions:
1 Eu 0.0000 0.0000 0.0000  4 Au 3.17, 4 Cu 3.17
2 Ca 0.5000 0.5000 0.5000  4 Cu 3.17, 4 Au 3.17
3 Au 0.2500 0.2500 0.2500  4 Ca 3.17, 4 Eu 3.17
4 Cu 0.7500 0.7500 0.7500  4 Eu 3.17, 4 Ca 3.17


A relaxed structure of Ca2Ga3CuAu4, computed with PBE.

Results
mass density = 9.2 Mg/m³

Cell lengths 4.3112, 4.3112, 11.1052 Å; angles 90.00, 90.00, 90.00 degrees
With the nearest neighbours (Å) after each atom.
Fractional positions:
1 Ca 0.5000 0.0000 0.2554  8 Au 3.28-3.56, 6 Ga 3.33-3.47, 2 Cu 3.47
2 Ca 0.0000 0.5000 0.7446  8 Au 3.28-3.56, 6 Ga 3.33-3.47, 2 Cu 3.47
3 Ga 0.0000 0.0000 0.5000  4 Au 2.64
4 Ga 0.5000 0.0000 0.8646  5 Au 2.53-2.63
5 Ga 0.0000 0.5000 0.1354  5 Au 2.53-2.63
6 Cu 0.5000 0.5000 0.5000  4 Au 2.64
7 Au 0.5000 0.5000 0.0000  4 Ga 2.63
8 Au 0.0000 0.0000 0.0000  4 Ga 2.63
9 Au 0.5000 0.0000 0.6368  3 Ga 2.53-2.64, 2 Cu 2.64
10 Au 0.0000 0.5000 0.3632  3 Ga 2.53-2.64, 2 Cu 2.64


A relaxed structure of Ca2Ga3Cu12Au, computed with PBE.

Results
mass density = 7.3 Mg/m³

Cell lengths 6.5788, 6.5788, 6.5788 Å; angles 85.86, 85.86, 85.86 degrees
With the nearest neighbours (Å) after each atom.
Fractional positions:
1 Ca 0.7108 0.7108 0.7108  9 Cu 2.81-2.95, 3 Ga 2.99
2 Ca 0.2892 0.2892 0.2892  9 Cu 2.81-2.95, 3 Ga 2.99
3 Ga 0.5000 0.0000 0.0000  2 Cu 2.47
4 Ga 0.0000 0.5000 0.0000  2 Cu 2.47
5 Ga 0.0000 0.0000 0.5000  2 Cu 2.47
6 Cu 0.4167 0.4167 0.8624  4 Cu 2.41-2.61
7 Cu 0.8004 0.8004 0.2908  5 Cu 2.41-2.69, 1 Ga 2.47, 1 Au 2.58
8 Cu 0.2908 0.8004 0.8004  5 Cu 2.41-2.69, 1 Ga 2.47, 1 Au 2.58
9 Cu 0.8624 0.4167 0.4167  4 Cu 2.41-2.61
10 Cu 0.8004 0.2908 0.8004  5 Cu 2.41-2.69, 1 Ga 2.47, 1 Au 2.58
11 Cu 0.4167 0.8624 0.4167  4 Cu 2.41-2.61
12 Cu 0.5833 0.5833 0.1376  4 Cu 2.41-2.61
13 Cu 0.1996 0.1996 0.7092  5 Cu 2.41-2.69, 1 Ga 2.47, 1 Au 2.58
14 Cu 0.7092 0.1996 0.1996  5 Cu 2.41-2.69, 1 Ga 2.47, 1 Au 2.58
15 Cu 0.1376 0.5833 0.5833  4 Cu 2.41-2.61
16 Cu 0.1996 0.7092 0.1996  5 Cu 2.41-2.69, 1 Ga 2.47, 1 Au 2.58
17 Cu 0.5833 0.1376 0.5833  4 Cu 2.41-2.61
18 Au 0.0000 0.0000 0.0000  6 Cu 2.58


A relaxed structure of CaGa2Cu4Au, computed with PBE.

Results
mass density = 7.6 Mg/m³

Cell lengths 4.1794, 4.1794, 9.3945 Å; angles 77.15, 77.15, 60.00 degrees
With the nearest neighbours (Å) after each atom.
Fractional positions:
1 Ca 0.0000 0.0000 0.0000  8 Cu 3.12-3.19, 6 Ga 3.32
2 Ga 0.7506 0.7506 0.7483  6 Cu 2.43-2.58
3 Ga 0.2494 0.2494 0.2517  6 Cu 2.43-2.58
4 Cu 0.4057 0.4057 0.7829  3 Ga 2.43, 1 Au 2.57, 3 Cu 2.70
5 Cu 0.8830 0.8830 0.3511  3 Ga 2.58, 3 Cu 2.70, 3 Au 2.77
6 Cu 0.1170 0.1170 0.6489  3 Ga 2.58, 3 Cu 2.70, 3 Au 2.77
7 Cu 0.5943 0.5943 0.2171  3 Ga 2.43, 1 Au 2.57, 3 Cu 2.70
8 Au 0.5000 0.5000 0.5000  8 Cu 2.57-2.77


A relaxed structure of CaGaCuAu3, computed with PBE.

Results
mass density = 10.2 Mg/m³

Cell lengths 6.0509, 6.8255, 6.9231 Å; angles 119.53, 90.00, 90.00 degrees
With the nearest neighbours (Å) after each atom.
Fractional positions:
1 Ca 0.7500 0.2959 0.5917  1 Cu 2.83, 2 Ga 3.15
2 Ca 0.2500 0.7041 0.4083  1 Cu 2.83, 2 Ga 3.15
3 Ga 0.2500 0.3697 0.7393  5 Au 2.51-2.63
4 Ga 0.7500 0.6303 0.2607  5 Au 2.51-2.63
5 Cu 0.2500 0.9389 0.8779  5 Au 2.56-2.68, 1 Ca 2.83
6 Cu 0.7500 0.0611 0.1221  5 Au 2.56-2.68, 1 Ca 2.83
7 Au 0.2500 0.1617 0.3233  1 Ga 2.51, 1 Cu 2.68
8 Au 0.0000 0.2837 0.0000  2 Cu 2.56, 2 Ga 2.63
9 Au 0.5000 0.7163 0.0000  2 Cu 2.56, 2 Ga 2.63
10 Au 0.5000 0.2837 0.0000  2 Cu 2.56, 2 Ga 2.63
11 Au 0.0000 0.7163 0.0000  2 Cu 2.56, 2 Ga 2.63
12 Au 0.7500 0.8383 0.6767  1 Ga 2.51, 1 Cu 2.68


A relaxed structure of CaGa2CuAu5, computed with PBE.

Results
mass density = 11.2 Mg/m³

Cell lengths 4.8997, 4.8997, 7.5784 Å; angles 90.00, 90.00, 90.00 degrees
With the nearest neighbours (Å) after each atom.
Fractional positions:
1 Ca 0.0000 0.0000 0.5000  12 Au 3.13-3.46
2 Ga 0.5000 0.5000 0.1567  1 Ga 2.37, 5 Au 2.53-2.60
3 Ga 0.5000 0.5000 0.8433  1 Ga 2.37, 5 Au 2.53-2.60
4 Cu 0.0000 0.0000 0.0000  8 Au 3.06
5 Au 0.0000 0.5000 0.2422  2 Ga 2.53
6 Au 0.5000 0.0000 0.2422  2 Ga 2.53
7 Au 0.0000 0.5000 0.7578  2 Ga 2.53
8 Au 0.5000 0.0000 0.7578  2 Ga 2.53
9 Au 0.5000 0.5000 0.5000  2 Ga 2.60


A relaxed structure of Ca2Ga4CuAu3, computed with PBE.

Results
mass density = 8.3 Mg/m³

Cell lengths 4.3252, 4.3252, 10.9006 Å; angles 90.00, 90.00, 90.00 degrees
With the nearest neighbours (Å) after each atom.
Fractional positions:
1 Ca 0.5000 0.0000 0.2557  6 Au 3.30-3.43, 8 Ga 3.33-3.53, 2 Cu 3.43
2 Ca 0.0000 0.5000 0.7443  6 Au 3.30-3.43, 8 Ga 3.33-3.53, 2 Cu 3.43
3 Ga 0.5000 0.5000 0.0000  4 Au 2.66
4 Ga 0.0000 0.0000 0.0000  4 Au 2.66
5 Ga 0.5000 0.0000 0.6246  3 Au 2.54-2.55, 2 Cu 2.55
6 Ga 0.0000 0.5000 0.3754  3 Au 2.54-2.55, 2 Cu 2.55
7 Cu 0.5000 0.5000 0.5000  4 Ga 2.55
8 Au 0.0000 0.0000 0.5000  4 Ga 2.55
9 Au 0.5000 0.0000 0.8580  5 Ga 2.54-2.66
10 Au 0.0000 0.5000 0.1420  5 Ga 2.54-2.66


A relaxed structure of CaGdCuAu, computed with PBE.

Results
mass density = 8.3 Mg/m³

Cell lengths 5.0611, 5.0611, 5.0611 Å; angles 60.00, 60.00, 60.00 degrees
With the nearest neighbours (Å) after each atom.
Fractional positions:
1 Ca 0.5000 0.5000 0.5000  4 Cu 3.10, 4 Au 3.10
2 Gd 0.0000 0.0000 0.0000  4 Cu 3.10, 4 Au 3.10
3 Au 0.7500 0.7500 0.7500  4 Ca 3.10, 4 Gd 3.10
4 Cu 0.2500 0.2500 0.2500  4 Gd 3.10, 4 Ca 3.10


Magnetization, record by record: 7.17 0.00 0.00 0.00 0.00 0.00 0.00 7.22 μB per cell
Electronic total energy, record by record: -5.338 -3.523 -3.592 -3.600 -3.459 -3.324 -3.511 -6.339 eV/atom
ΔE_f, record by record: -425.3 -494.6 48.1 -134.9 -299.5 -152.6 -507.6 -474.5 meV per atom